Pr2FeCuO5, relaxed, DFT GGA+U; E_tot = -6.8671 eV/atom; space-group type = No. 127
1.0
6.858 0.000 0.000
0.000 6.858 0.000
0.000 0.000 5.566
Pr Fe Cu O
4 2 2 10
direct
0.178 0.322 0.000 Pr
0.322 0.822 0.000 Pr
0.678 0.178 0.000 Pr
0.822 0.678 0.000 Pr
0.000 0.500 0.500 Fe
0.500 0.000 0.500 Fe
0.000 0.000 0.500 Cu
0.500 0.500 0.500 Cu
0.000 0.000 0.000 O
0.130 0.630 0.259 O
0.130 0.630 0.741 O
0.370 0.130 0.259 O
0.370 0.130 0.741 O
0.500 0.500 0.000 O
0.630 0.870 0.259 O
0.630 0.870 0.741 O
0.870 0.370 0.259 O
0.870 0.370 0.741 O